Record 1
# CaPmGe3

CaPmGe3 after structural relaxation (PBE, Alexandria via LeMat-Bulk).

Cell and atoms, written as CIF:
```
data_CaPmGe3
_symmetry_space_group_name_H-M 'P 1'
_symmetry_Int_Tables_number 1
_cell_length_a 4.028
_cell_length_b 4.292
_cell_length_c 13.936
_cell_angle_alpha 98.86
_cell_angle_beta 90.00
_cell_angle_gamma 90.00
loop_
_symmetry_equiv_pos_as_xyz
'x,y,z'
loop_
_atom_site_label
_atom_site_type_symbol
_atom_site_fract_x
_atom_site_fract_y
_atom_site_fract_z
Pm1 Pm 0.750 0.925 0.850
Pm2 Pm 0.250 0.075 0.150
Ca1 Ca 0.250 0.795 0.591
Ca2 Ca 0.750 0.205 0.409
Ge1 Ge 0.750 0.623 0.246
Ge2 Ge 0.750 0.319 0.638
Ge3 Ge 0.750 0.528 0.057
Ge4 Ge 0.250 0.472 0.943
Ge5 Ge 0.250 0.681 0.362
Ge6 Ge 0.250 0.377 0.754
```

Computed properties:
calculated density = 5622 kg/m3
space group = Cmcm
energy of formation from the pure elements = -0.594 eV per atom
excess energy over the best structure of this formula in the dataset = 0.0 meV per atom


Record 2
# Ca2PmGe6

Ca2PmGe6 after structural relaxation (PBE, Alexandria via LeMat-Bulk).

Cell and atoms, written as CIF:
```
data_Ca2PmGe6
_symmetry_space_group_name_H-M 'P 1'
_symmetry_Int_Tables_number 1
_cell_length_a 4.079
_cell_length_b 7.223
_cell_length_c 7.223
_cell_angle_alpha 80.66
_cell_angle_beta 90.00
_cell_angle_gamma 90.00
loop_
_symmetry_equiv_pos_as_xyz
'x,y,z'
loop_
_atom_site_label
_atom_site_type_symbol
_atom_site_fract_x
_atom_site_fract_y
_atom_site_fract_z
Ge1 Ge 0.444 0.336 0.055
Ge2 Ge 0.444 0.718 0.225
Ge3 Ge 0.444 0.225 0.718
Ge4 Ge 0.944 0.569 0.002
Ge5 Ge 0.444 0.055 0.336
Ge6 Ge 0.944 0.002 0.569
Ca1 Ca 0.945 0.405 0.405
Ca2 Ca 0.445 0.689 0.689
Pm1 Pm 0.944 0.000 0.000
```

Computed properties:
calculated density = 5227 kg/m3
space group = Amm2
energy of formation from the pure elements = -0.372 eV per atom


Record 3
# Ca3Pm4Ge4

Ca3Pm4Ge4 after structural relaxation (PBE, Alexandria via LeMat-Bulk).

Cell and atoms, written as CIF:
```
data_Ca3Pm4Ge4
_symmetry_space_group_name_H-M 'P 1'
_symmetry_Int_Tables_number 1
_cell_length_a 4.057
_cell_length_b 9.022
_cell_length_c 9.883
_cell_angle_alpha 117.16
_cell_angle_beta 101.84
_cell_angle_gamma 90.00
loop_
_symmetry_equiv_pos_as_xyz
'x,y,z'
loop_
_atom_site_label
_atom_site_type_symbol
_atom_site_fract_x
_atom_site_fract_y
_atom_site_fract_z
Ca1 Ca 0.098 0.098 0.196
Ca2 Ca 0.000 0.500 0.000
Ca3 Ca 0.902 0.902 0.804
Pm1 Pm 0.329 0.142 0.658
Pm2 Pm 0.329 0.516 0.658
Pm3 Pm 0.671 0.858 0.342
Pm4 Pm 0.671 0.484 0.342
Ge1 Ge 0.500 0.769 0.000
Ge2 Ge 0.500 0.231 0.000
Ge3 Ge 0.263 0.763 0.527
Ge4 Ge 0.737 0.237 0.473
```

Computed properties:
calculated density = 5253 kg/m3
space group = Immm
energy of formation from the pure elements = -0.504 eV per atom


Record 4
# Ca2PmGe

Ca2PmGe after structural relaxation (PBE, Alexandria via LeMat-Bulk).

Cell and atoms, written as CIF:
```
data_Ca2PmGe
_symmetry_space_group_name_H-M 'P 1'
_symmetry_Int_Tables_number 1
_cell_length_a 5.134
_cell_length_b 7.007
_cell_length_c 7.675
_cell_angle_alpha 90.00
_cell_angle_beta 90.00
_cell_angle_gamma 111.49
loop_
_symmetry_equiv_pos_as_xyz
'x,y,z'
loop_
_atom_site_label
_atom_site_type_symbol
_atom_site_fract_x
_atom_site_fract_y
_atom_site_fract_z
Ge1 Ge 0.193 0.385 0.250
Ge2 Ge 0.807 0.615 0.750
Ca1 Ca 0.354 0.708 0.528
Ca2 Ca 0.646 0.292 0.472
Ca3 Ca 0.354 0.708 0.972
Ca4 Ca 0.646 0.292 0.028
Pm1 Pm 0.973 0.947 0.250
Pm2 Pm 0.027 0.053 0.750
```

Computed properties:
calculated density = 3850 kg/m3
space group = Cmcm
energy of formation from the pure elements = -0.303 eV per atom


Record 5
# CaPm12Ge7

CaPm12Ge7 after structural relaxation (PBE, Alexandria via LeMat-Bulk).

Cell and atoms, written as CIF:
```
data_CaPm12Ge7
_symmetry_space_group_name_H-M 'P 1'
_symmetry_Int_Tables_number 1
_cell_length_a 9.275
_cell_length_b 9.275
_cell_length_c 9.275
_cell_angle_alpha 110.96
_cell_angle_beta 110.96
_cell_angle_gamma 110.96
loop_
_symmetry_equiv_pos_as_xyz
'x,y,z'
loop_
_atom_site_label
_atom_site_type_symbol
_atom_site_fract_x
_atom_site_fract_y
_atom_site_fract_z
Pm1 Pm 0.000 0.268 0.732
Pm2 Pm 0.732 0.268 0.000
Pm3 Pm 0.165 0.471 0.471
Pm4 Pm 0.835 0.529 0.529
Pm5 Pm 0.471 0.471 0.165
Pm6 Pm 0.471 0.165 0.471
Pm7 Pm 0.268 0.732 0.000
Pm8 Pm 0.732 0.000 0.268
Pm9 Pm 0.529 0.529 0.835
Pm10 Pm 0.000 0.732 0.268
Pm11 Pm 0.529 0.835 0.529
Pm12 Pm 0.268 0.000 0.732
Ge1 Ge 0.864 0.864 0.528
Ge2 Ge 0.136 0.472 0.136
Ge3 Ge 0.528 0.864 0.864
Ge4 Ge 0.500 0.500 0.500
Ge5 Ge 0.472 0.136 0.136
Ge6 Ge 0.864 0.528 0.864
Ge7 Ge 0.136 0.136 0.472
Ca1 Ca 0.000 0.000 0.000
```

Computed properties:
calculated density = 6576 kg/m3
space group = R-3m
energy of formation from the pure elements = -0.494 eV per atom


Record 6
# CaPm12Ge6

CaPm12Ge6 after structural relaxation (PBE, Alexandria via LeMat-Bulk).

Cell and atoms, written as CIF:
```
data_CaPm12Ge6
_symmetry_space_group_name_H-M 'P 1'
_symmetry_Int_Tables_number 1
_cell_length_a 8.776
_cell_length_b 8.776
_cell_length_c 8.776
_cell_angle_alpha 103.57
_cell_angle_beta 103.57
_cell_angle_gamma 103.57
loop_
_symmetry_equiv_pos_as_xyz
'x,y,z'
loop_
_atom_site_label
_atom_site_type_symbol
_atom_site_fract_x
_atom_site_fract_y
_atom_site_fract_z
Ge1 Ge 0.244 0.684 0.244
Ge2 Ge 0.756 0.756 0.316
Ge3 Ge 0.244 0.244 0.684
Ge4 Ge 0.684 0.244 0.244
Ge5 Ge 0.756 0.316 0.756
Ge6 Ge 0.316 0.756 0.756
Pm1 Pm 0.129 0.871 0.500
Pm2 Pm 0.450 0.450 0.180
Pm3 Pm 0.500 0.871 0.129
Pm4 Pm 0.550 0.820 0.550
Pm5 Pm 0.180 0.450 0.450
Pm6 Pm 0.871 0.129 0.500
Pm7 Pm 0.550 0.550 0.820
Pm8 Pm 0.450 0.180 0.450
Pm9 Pm 0.500 0.129 0.871
Pm10 Pm 0.820 0.550 0.550
Pm11 Pm 0.129 0.500 0.871
Pm12 Pm 0.871 0.500 0.129
Ca1 Ca 0.000 0.000 0.000
```

Computed properties:
calculated density = 6053 kg/m3
space group = R-3m
energy of formation from the pure elements = -0.458 eV per atom


Record 7
# Ca2PmGe3Pt4

Ca2PmGe3Pt4 after structural relaxation (PBE, Alexandria via LeMat-Bulk).

Cell and atoms, written as CIF:
```
data_Ca2PmGe3Pt4
_symmetry_space_group_name_H-M 'P 1'
_symmetry_Int_Tables_number 1
_cell_length_a 4.347
_cell_length_b 4.347
_cell_length_c 11.171
_cell_angle_alpha 90.00
_cell_angle_beta 90.00
_cell_angle_gamma 90.00
loop_
_symmetry_equiv_pos_as_xyz
'x,y,z'
loop_
_atom_site_label
_atom_site_type_symbol
_atom_site_fract_x
_atom_site_fract_y
_atom_site_fract_z
Ca1 Ca 0.500 0.000 0.224
Ca2 Ca 0.000 0.500 0.776
Ge1 Ge 0.500 0.000 0.881
Ge2 Ge 0.000 0.500 0.119
Ge3 Ge 0.000 0.000 0.500
Pt1 Pt 0.000 0.000 0.000
Pt2 Pt 0.500 0.500 0.000
Pt3 Pt 0.000 0.500 0.336
Pt4 Pt 0.500 0.000 0.664
Pm1 Pm 0.500 0.500 0.500
```

Computed properties:
calculated density = 9622 kg/m3
space group = P-4m2
energy of formation from the pure elements = -0.842 eV per atom


Record 8
# CaPmGePt

CaPmGePt after structural relaxation (PBE, Alexandria via LeMat-Bulk).

Cell and atoms, written as CIF:
```
data_CaPmGePt
_symmetry_space_group_name_H-M 'P 1'
_symmetry_Int_Tables_number 1
_cell_length_a 5.082
_cell_length_b 5.082
_cell_length_c 5.082
_cell_angle_alpha 60.00
_cell_angle_beta 60.00
_cell_angle_gamma 60.00
loop_
_symmetry_equiv_pos_as_xyz
'x,y,z'
loop_
_atom_site_label
_atom_site_type_symbol
_atom_site_fract_x
_atom_site_fract_y
_atom_site_fract_z
Pt1 Pt 0.750 0.750 0.750
Pm1 Pm 0.000 0.000 0.000
Ca1 Ca 0.500 0.500 0.500
Ge1 Ge 0.250 0.250 0.250
```

Computed properties:
calculated density = 8103 kg/m3
space group = F-43m
energy of formation from the pure elements = -0.797 eV per atom
excess energy over the best structure of this formula in the dataset = 73.8 meV per atom


Record 9
# CaPmGePt

CaPmGePt after structural relaxation (PBE, Alexandria via LeMat-Bulk).

Cell and atoms, written as CIF:
```
data_CaPmGePt
_symmetry_space_group_name_H-M 'P 1'
_symmetry_Int_Tables_number 1
_cell_length_a 4.188
_cell_length_b 4.292
_cell_length_c 5.811
_cell_angle_alpha 90.00
_cell_angle_beta 111.12
_cell_angle_gamma 90.00
loop_
_symmetry_equiv_pos_as_xyz
'x,y,z'
loop_
_atom_site_label
_atom_site_type_symbol
_atom_site_fract_x
_atom_site_fract_y
_atom_site_fract_z
Ca1 Ca 0.143 0.000 0.286
Ge1 Ge 0.571 0.500 0.142
Pt1 Pt 0.427 0.000 0.854
Pm1 Pm 0.859 0.500 0.718
```

Computed properties:
calculated density = 7715 kg/m3
space group = Amm2
energy of formation from the pure elements = -0.871 eV per atom
excess energy over the best structure of this formula in the dataset = 0.0 meV per atom


Record 10
# CaPm2Ge3Pt4

CaPm2Ge3Pt4 after structural relaxation (PBE, Alexandria via LeMat-Bulk).

Cell and atoms, written as CIF:
```
data_CaPm2Ge3Pt4
_symmetry_space_group_name_H-M 'P 1'
_symmetry_Int_Tables_number 1
_cell_length_a 4.312
_cell_length_b 4.312
_cell_length_c 11.102
_cell_angle_alpha 90.00
_cell_angle_beta 90.00
_cell_angle_gamma 90.00
loop_
_symmetry_equiv_pos_as_xyz
'x,y,z'
loop_
_atom_site_label
_atom_site_type_symbol
_atom_site_fract_x
_atom_site_fract_y
_atom_site_fract_z
Pm1 Pm 0.500 0.000 0.225
Pm2 Pm 0.000 0.500 0.775
Pt1 Pt 0.000 0.000 0.000
Pt2 Pt 0.500 0.000 0.658
Pt3 Pt 0.500 0.500 0.000
Pt4 Pt 0.000 0.500 0.342
Ge1 Ge 0.000 0.000 0.500
Ge2 Ge 0.000 0.500 0.122
Ge3 Ge 0.500 0.000 0.878
Ca1 Ca 0.500 0.500 0.500
```

Computed properties:
calculated density = 10687 kg/m3
space group = P-4m2
energy of formation from the pure elements = -0.892 eV per atom


Record 11
# CaPmGeSb

CaPmGeSb after structural relaxation (PBE, Alexandria via LeMat-Bulk).

Cell and atoms, written as CIF:
```
data_CaPmGeSb
_symmetry_space_group_name_H-M 'P 1'
_symmetry_Int_Tables_number 1
_cell_length_a 5.348
_cell_length_b 5.348
_cell_length_c 5.348
_cell_angle_alpha 60.00
_cell_angle_beta 60.00
_cell_angle_gamma 60.00
loop_
_symmetry_equiv_pos_as_xyz
'x,y,z'
loop_
_atom_site_label
_atom_site_type_symbol
_atom_site_fract_x
_atom_site_fract_y
_atom_site_fract_z
Sb1 Sb 0.750 0.750 0.750
Ge1 Ge 0.250 0.250 0.250
Ca1 Ca 0.500 0.500 0.500
Pm1 Pm 0.000 0.000 0.000
```

Computed properties:
calculated density = 5825 kg/m3
space group = F-43m
DFT total energy = -17.96 eV per formula unit


Record 12
# CaPmSnGe

CaPmSnGe after structural relaxation (PBE, Alexandria via LeMat-Bulk).

Cell and atoms, written as CIF:
```
data_CaPmSnGe
_symmetry_space_group_name_H-M 'P 1'
_symmetry_Int_Tables_number 1
_cell_length_a 5.333
_cell_length_b 5.333
_cell_length_c 5.333
_cell_angle_alpha 60.00
_cell_angle_beta 60.00
_cell_angle_gamma 60.00
loop_
_symmetry_equiv_pos_as_xyz
'x,y,z'
loop_
_atom_site_label
_atom_site_type_symbol
_atom_site_fract_x
_atom_site_fract_y
_atom_site_fract_z
Ge1 Ge 0.250 0.250 0.250
Pm1 Pm 0.000 0.000 0.000
Ca1 Ca 0.500 0.500 0.500
Sn1 Sn 0.750 0.750 0.750
```

Computed properties:
calculated density = 5829 kg/m3
space group = F-43m
energy of formation from the pure elements = -0.524 eV per atom